Here is a relaxed RbAuIN2 crystal from Alexandria. Energies are from PBE.

Summary:
For the energy, the calculation gives -0.090 Ha/atom. The density of states at the Fermi level is 2.15 states/eV/f.u.

Geometry as POSCAR:
```
RbAuIN2
1.0
5.239 0.000 0.000
0.000 5.239 0.000
0.000 0.000 7.367
Au I N Rb
1 1 2 1
direct
0.500 0.500 0.500
0.000 0.000 0.500
0.000 0.500 0.000
0.500 0.000 0.000
0.000 0.000 0.000
```

***

Here is a relaxed RbAuIN2 crystal from Alexandria. Energies are from PBE.

Summary:
For the energy, the calculation gives -0.120 Ha/atom. The density of states at the Fermi level is 1.05 states/eV/f.u.

Geometry as POSCAR:
```
RbAuIN2
1.0
4.558 0.000 0.000
0.000 4.558 0.000
0.000 0.000 6.649
N Rb I Au
2 1 1 1
direct
0.000 0.500 0.000
0.500 0.000 0.000
0.500 0.500 0.500
0.000 0.000 0.500
0.000 0.000 0.000
```

***

Here is a relaxed ReAuI2N crystal from Alexandria. Energies are from PBE.

Summary:
For the energy, the calculation gives -0.131 Ha/atom. The density of states at the Fermi level is 3.61 states/eV/f.u.

Geometry as POSCAR:
```
ReAuI2N
1.0
-3.835 -3.933 2.554
4.686 -3.344 1.887
0.115 1.966 3.200
N Re I Au
1 1 2 1
direct
0.000 0.000 0.500
0.500 0.500 0.500
0.500 0.000 0.000
0.000 0.500 0.000
0.000 0.000 0.000
```

***

Here is a relaxed ReAuI2N crystal from Alexandria. Energies are from PBE.

Summary:
For the energy, the calculation gives -0.178 Ha/atom. The density of states at the Fermi level is 2.67 states/eV/f.u.

Geometry as POSCAR:
```
ReAuI2N
1.0
-1.858 4.107 -3.273
-4.901 -2.604 -0.486
-1.278 1.839 3.033
Re Au I N
1 1 2 1
direct
0.000 0.000 0.000
0.500 0.500 0.500
0.500 0.000 0.000
0.000 0.500 0.000
0.000 0.000 0.500
```

***

We obtain ΔE to the lowest computed polymorph values of 819; 0; 1279; 0 meV/atom for the records listed above, in that order.
We obtain uncorrected formation energy values of 2.030; 1.211; 1.871; 0.592 eV/atom for the records listed above, in that order.